## TbNdI3 (GGA-PBE)

Data for an optimized crystal structure of TbNdI3.

Distance to the lowest polymorph of the same formula ... 9.8 kJ per mole of atoms
Volume ... 37.38 Å³/atom
Electronic total energy ... -0.2813 Ry per atom
Formation energy without anion corrections ... -1.02 eV/atom

abc: 7.8710 3.9661 12.5299
angles: 90.00 107.13 90.00
With the nearest neighbours (Å) after each atom.
Space group P2_1/m (No. 11)
One atom of each set of equivalent atoms:
Tb1 0.1221 0.2500 0.1758 x2  5 I 3.13-3.18
Nd1 0.1221 0.2500 0.6735 x2  6 I 3.22-3.24
I1 0.1938 0.2500 0.9420 x2  3 Tb 3.14-3.18, 1 Nd 3.24
I2 0.2070 0.2500 0.4377 x2  1 Tb 3.15, 3 Nd 3.22-3.23
I3 0.4615 0.7500 0.7467 x2  1 Tb 3.13, 2 Nd 3.24